w) DFT (PBE-GGA) results for an optimized crystal structure of ScAs3C.

abc: 5.0688 5.0688 5.0688
angles: 90.00 90.00 90.00
Last column: nearest neighbours and their distance in Å.
Sites, in units of the cell vectors:
As: 0.5000 0.0000 0.0000  2 Sc 2.53
As: 0.0000 0.5000 0.0000  2 Sc 2.53
As: 0.0000 0.0000 0.5000  2 Sc 2.53
C: 0.5000 0.5000 0.5000  12 As 3.58
Sc: 0.0000 0.0000 0.0000  6 As 2.53

Space-group type: Pm-3m (221)

***

x) DFT (PBE-GGA) results for an optimized crystal structure of ScAs3C.

abc: 4.4021 4.4021 4.4021
angles: 90.00 90.00 90.00
Last column: nearest neighbours and their distance in Å.
Sites, in units of the cell vectors:
Sc: 0.5000 0.5000 0.5000  12 As 3.11
As: 0.5000 0.0000 0.0000  2 C 2.20
As: 0.0000 0.0000 0.5000  2 C 2.20
As: 0.0000 0.5000 0.0000  2 C 2.20
C: 0.0000 0.0000 0.0000  6 As 2.20

Space-group type: Pm-3m (221)

***

Short version: x), w), most stable first.

***

w) DFT (PBE-GGA) results for an optimized crystal structure of ScAsCSe2.

abc: 4.4521 4.4521 4.3862
angles: 90.00 90.00 90.00
Last column: nearest neighbours and their distance in Å.
Sites, in units of the cell vectors:
As: 0.0000 0.0000 0.5000  2 C 2.19
Sc: 0.5000 0.5000 0.5000  8 Se 3.12, 4 As 3.15
Se: 0.5000 0.0000 0.0000  2 C 2.23
Se: 0.0000 0.5000 0.0000  2 C 2.23
C: 0.0000 0.0000 0.0000  2 As 2.19, 4 Se 2.23

Space-group type: P4/mmm (123)

***

x) DFT (PBE-GGA) results for an optimized crystal structure of ScAsCSe2.

abc: 5.0863 5.0863 5.2130
angles: 90.00 90.00 90.00
Last column: nearest neighbours and their distance in Å.
Sites, in units of the cell vectors:
Se: 0.0000 0.5000 0.0000  2 Sc 2.54
Se: 0.5000 0.0000 0.0000  2 Sc 2.54
C: 0.5000 0.5000 0.5000  4 As 3.60, 8 Se 3.64
Sc: 0.0000 0.0000 0.0000  4 Se 2.54, 2 As 2.61
As: 0.0000 0.0000 0.5000  2 Sc 2.61

Space-group type: P4/mmm (123)

***

Short version: w), x), most stable first.

***

w) DFT (PBE-GGA) results for an optimized crystal structure of As3CSe.

abc: 5.0077 5.0077 5.0077
angles: 90.00 90.00 90.00
Last column: nearest neighbours and their distance in Å.
Sites, in units of the cell vectors:
As: 0.5000 0.0000 0.0000  2 Se 2.50
As: 0.0000 0.5000 0.0000  2 Se 2.50
As: 0.0000 0.0000 0.5000  2 Se 2.50
Se: 0.0000 0.0000 0.0000  6 As 2.50
C: 0.5000 0.5000 0.5000  12 As 3.54

Space-group type: Pm-3m (221)

***

x) DFT (PBE-GGA) results for an optimized crystal structure of As3CSe.

abc: 4.4330 4.4330 4.4330
angles: 90.00 90.00 90.00
Last column: nearest neighbours and their distance in Å.
Sites, in units of the cell vectors:
C: 0.0000 0.0000 0.0000  6 As 2.22
As: 0.5000 0.0000 0.0000  2 C 2.22
As: 0.0000 0.0000 0.5000  2 C 2.22
As: 0.0000 0.5000 0.0000  2 C 2.22
Se: 0.5000 0.5000 0.5000  12 As 3.13

Space-group type: Pm-3m (221)

***

Short version: x), w), most stable first.

***

w) DFT (PBE-GGA) results for an optimized crystal structure of As2CSe.

abc: 4.5286 4.5286 4.5286
angles: 60.00 60.00 60.00
Last column: nearest neighbours and their distance in Å.
Sites, in units of the cell vectors:
As: 0.2500 0.2500 0.2500  4 Se 2.77, 4 C 2.77
As: 0.7500 0.7500 0.7500  4 Se 2.77, 4 C 2.77
C: 0.0000 0.0000 0.0000  8 As 2.77
Se: 0.5000 0.5000 0.5000  8 As 2.77

Space-group type: Fm-3m (225)

***

x) DFT (PBE-GGA) results for an optimized crystal structure of As2CSe.

abc: 6.0975 6.0975 5.8648
angles: 58.68 58.68 90.00
Last column: nearest neighbours and their distance in Å.
Sites, in units of the cell vectors:
C: 0.5000 0.5000 0.0000  4 As 2.08
C: 0.2500 0.7500 0.5000  4 As 2.08
Se: 0.0000 0.0000 0.0000  4 As 2.73
Se: 0.7500 0.2500 0.5000  4 As 2.73
As: 0.8750 0.7919 0.7500  2 C 2.08
As: 0.3750 0.4581 0.7500  2 C 2.08
As: 0.2081 0.6250 0.2500  2 C 2.08
As: 0.5419 0.1250 0.2500  2 C 2.08

Space-group type: I-42d (122)

***

Short version: x), w), most stable first.

***

w) DFT (PBE-GGA) results for an optimized crystal structure of SiAsCSe2.

abc: 4.4162 4.4162 4.3745
angles: 90.00 90.00 90.00
Last column: nearest neighbours and their distance in Å.
Sites, in units of the cell vectors:
Se: 0.0000 0.5000 0.0000  2 C 2.21
Se: 0.5000 0.0000 0.0000  2 C 2.21
Si: 0.5000 0.5000 0.5000  8 Se 3.11, 4 As 3.12
C: 0.0000 0.0000 0.0000  2 As 2.19, 4 Se 2.21
As: 0.0000 0.0000 0.5000  2 C 2.19

Space-group type: P4/mmm (123)

***

x) DFT (PBE-GGA) results for an optimized crystal structure of SiAsCSe2.

abc: 4.7750 4.7750 4.7937
angles: 90.00 90.00 90.00
Last column: nearest neighbours and their distance in Å.
Sites, in units of the cell vectors:
C: 0.5000 0.5000 0.5000  4 As 3.38, 8 Se 3.38
Si: 0.0000 0.0000 0.0000  4 Se 2.39, 2 As 2.40
As: 0.0000 0.0000 0.5000  2 Si 2.40
Se: 0.5000 0.0000 0.0000  2 Si 2.39
Se: 0.0000 0.5000 0.0000  2 Si 2.39

Space-group type: P4/mmm (123)

***

Short version: w), x), most stable first.

***

w) DFT (PBE-GGA) results for an optimized crystal structure of SnAsCSe2.

abc: 4.5173 4.5173 4.5760
angles: 90.00 90.00 90.00
Last column: nearest neighbours and their distance in Å.
Sites, in units of the cell vectors:
C: 0.0000 0.0000 0.0000  4 Se 2.26, 2 As 2.29
As: 0.0000 0.0000 0.5000  2 C 2.29
Se: 0.0000 0.5000 0.0000  2 C 2.26
Se: 0.5000 0.0000 0.0000  2 C 2.26
Sn: 0.5000 0.5000 0.5000  4 As 3.19, 8 Se 3.22

Space-group type: P4/mmm (123)

***

x) DFT (PBE-GGA) results for an optimized crystal structure of SnAsCSe2.

abc: 5.2888 5.2888 5.3658
angles: 90.00 90.00 90.00
Last column: nearest neighbours and their distance in Å.
Sites, in units of the cell vectors:
As: 0.0000 0.0000 0.5000  2 Sn 2.68
C: 0.5000 0.5000 0.5000  4 As 3.74, 8 Se 3.77
Se: 0.5000 0.0000 0.0000  2 Sn 2.64
Se: 0.0000 0.5000 0.0000  2 Sn 2.64
Sn: 0.0000 0.0000 0.0000  4 Se 2.64, 2 As 2.68

Space-group type: P4/mmm (123)

***

Short version: w), x), most stable first.

***

w) DFT (PBE-GGA) results for an optimized crystal structure of SrAsCSe2.

abc: 5.0928 5.0928 4.0899
angles: 90.00 90.00 90.00
Last column: nearest neighbours and their distance in Å.
Sites, in units of the cell vectors:
Se: 0.5000 0.0000 0.0000  2 C 2.55
Se: 0.0000 0.5000 0.0000  2 C 2.55
As: 0.0000 0.0000 0.5000  2 C 2.04
C: 0.0000 0.0000 0.0000  2 As 2.04
Sr: 0.5000 0.5000 0.5000  8 Se 3.27, 4 As 3.60

Space-group type: P4/mmm (123)

***

x) DFT (PBE-GGA) results for an optimized crystal structure of SrAsCSe2.

abc: 5.7662 5.7662 5.9449
angles: 90.00 90.00 90.00
Last column: nearest neighbours and their distance in Å.
Sites, in units of the cell vectors:
Se: 0.0000 0.5000 0.0000  2 Sr 2.88
Se: 0.5000 0.0000 0.0000  2 Sr 2.88
Sr: 0.0000 0.0000 0.0000  4 Se 2.88, 2 As 2.97
As: 0.0000 0.0000 0.5000  2 Sr 2.97
C: 0.5000 0.5000 0.5000  4 As 4.08, 8 Se 4.14

Space-group type: P4/mmm (123)

***

Short version: w), x), most stable first.

***

w) DFT (PBE-GGA) results for an optimized crystal structure of TiAsCSe2.

abc: 4.8570 4.8570 4.9653
angles: 90.00 90.00 90.00
Last column: nearest neighbours and their distance in Å.
Sites, in units of the cell vectors:
Se: 0.5000 0.0000 0.0000  2 Ti 2.43
Se: 0.0000 0.5000 0.0000  2 Ti 2.43
C: 0.5000 0.5000 0.5000  4 As 3.43, 8 Se 3.47
Ti: 0.0000 0.0000 0.0000  4 Se 2.43, 2 As 2.48
As: 0.0000 0.0000 0.5000  2 Ti 2.48

Space-group type: P4/mmm (123)

***

x) DFT (PBE-GGA) results for an optimized crystal structure of TiAsCSe2.

abc: 4.3611 4.3611 4.3176
angles: 90.00 90.00 90.00
Last column: nearest neighbours and their distance in Å.
Sites, in units of the cell vectors:
As: 0.0000 0.0000 0.5000  2 C 2.16
Se: 0.0000 0.5000 0.0000  2 C 2.18
Se: 0.5000 0.0000 0.0000  2 C 2.18
Ti: 0.5000 0.5000 0.5000  8 Se 3.07, 4 As 3.08
C: 0.0000 0.0000 0.0000  2 As 2.16, 4 Se 2.18

Space-group type: P4/mmm (123)

***

Short version: x), w), most stable first.

***

w) DFT (PBE-GGA) results for an optimized crystal structure of VAs2CSe.

abc: 4.7268 4.7268 4.6861
angles: 90.00 90.00 90.00
Last column: nearest neighbours and their distance in Å.
Sites, in units of the cell vectors:
C: 0.5000 0.5000 0.5000  8 As 3.33, 4 Se 3.34
V: 0.0000 0.0000 0.0000  2 Se 2.34, 4 As 2.36
As: 0.5000 0.0000 0.0000  2 V 2.36
As: 0.0000 0.5000 0.0000  2 V 2.36
Se: 0.0000 0.0000 0.5000  2 V 2.34

Space-group type: P4/mmm (123)

***

x) DFT (PBE-GGA) results for an optimized crystal structure of VAs2CSe.

abc: 4.2899 4.2899 4.2912
angles: 90.00 90.00 90.00
Last column: nearest neighbours and their distance in Å.
Sites, in units of the cell vectors:
V: 0.5000 0.5000 0.5000  4 Se 3.03, 8 As 3.03
C: 0.0000 0.0000 0.0000  4 As 2.14, 2 Se 2.15
Se: 0.0000 0.0000 0.5000  2 C 2.15
As: 0.5000 0.0000 0.0000  2 C 2.14
As: 0.0000 0.5000 0.0000  2 C 2.14

Space-group type: P4/mmm (123)

***

Short version: x), w), most stable first.

***

w) DFT (PBE-GGA) results for an optimized crystal structure of As2WCSe.

abc: 4.9164 4.9164 4.8202
angles: 90.00 90.00 90.00
Last column: nearest neighbours and their distance in Å.
Sites, in units of the cell vectors:
C: 0.5000 0.5000 0.5000  8 As 3.44, 4 Se 3.48
W: 0.0000 0.0000 0.0000  2 Se 2.41, 4 As 2.46
As: 0.5000 0.0000 0.0000  2 W 2.46
As: 0.0000 0.5000 0.0000  2 W 2.46
Se: 0.0000 0.0000 0.5000  2 W 2.41

Space-group type: P4/mmm (123)

***

x) DFT (PBE-GGA) results for an optimized crystal structure of As2WCSe.

abc: 4.1635 4.1635 4.4814
angles: 90.00 90.00 90.00
Last column: nearest neighbours and their distance in Å.
Sites, in units of the cell vectors:
As: 0.0000 0.5000 0.0000  2 C 2.08
As: 0.5000 0.0000 0.0000  2 C 2.08
W: 0.5000 0.5000 0.5000  4 Se 2.94, 8 As 3.06
C: 0.0000 0.0000 0.0000  4 As 2.08, 2 Se 2.24
Se: 0.0000 0.0000 0.5000  2 C 2.24

Space-group type: P4/mmm (123)

***

Short version: x), w), most stable first.

***

w) DFT (PBE-GGA) results for an optimized crystal structure of ZnAs2CSe.

abc: 4.7732 4.7732 4.9246
angles: 90.00 90.00 90.00
Last column: nearest neighbours and their distance in Å.
Sites, in units of the cell vectors:
As: 0.5000 0.0000 0.0000  2 Zn 2.39
As: 0.0000 0.5000 0.0000  2 Zn 2.39
Se: 0.0000 0.0000 0.5000  2 Zn 2.46
C: 0.5000 0.5000 0.5000  4 Se 3.38, 8 As 3.43
Zn: 0.0000 0.0000 0.0000  4 As 2.39, 2 Se 2.46

Space-group type: P4/mmm (123)

***

x) DFT (PBE-GGA) results for an optimized crystal structure of ZnAs2CSe.

abc: 4.3555 4.3555 4.5123
angles: 90.00 90.00 90.00
Last column: nearest neighbours and their distance in Å.
Sites, in units of the cell vectors:
As: 0.5000 0.0000 0.0000  2 C 2.18
As: 0.0000 0.5000 0.0000  2 C 2.18
Se: 0.0000 0.0000 0.5000  2 C 2.26
Zn: 0.5000 0.5000 0.5000  4 Se 3.08, 8 As 3.14
C: 0.0000 0.0000 0.0000  4 As 2.18, 2 Se 2.26

Space-group type: P4/mmm (123)

***

Short version: x), w), most stable first.

***

w) DFT (PBE-GGA) results for an optimized crystal structure of ZrAs2CSe.

abc: 4.3881 4.3881 4.3912
angles: 90.00 90.00 90.00
Last column: nearest neighbours and their distance in Å.
Sites, in units of the cell vectors:
Zr: 0.5000 0.5000 0.5000  4 Se 3.10, 8 As 3.10
C: 0.0000 0.0000 0.0000  4 As 2.19, 2 Se 2.20
As: 0.0000 0.5000 0.0000  2 C 2.19
As: 0.5000 0.0000 0.0000  2 C 2.19
Se: 0.0000 0.0000 0.5000  2 C 2.20

Space-group type: P4/mmm (123)

***

x) DFT (PBE-GGA) results for an optimized crystal structure of ZrAs2CSe.

abc: 5.2313 5.2313 5.1315
angles: 90.00 90.00 90.00
Last column: nearest neighbours and their distance in Å.
Sites, in units of the cell vectors:
C: 0.5000 0.5000 0.5000  8 As 3.66, 4 Se 3.70
As: 0.0000 0.5000 0.0000  2 Zr 2.62
As: 0.5000 0.0000 0.0000  2 Zr 2.62
Se: 0.0000 0.0000 0.5000  2 Zr 2.57
Zr: 0.0000 0.0000 0.0000  2 Se 2.57, 4 As 2.62

Space-group type: P4/mmm (123)

***

Short version: w), x), most stable first.